1.
## Dy5YHo5 (PBE)

Data for an optimized crystal structure of Dy5YHo5.

abc: 6.8006 6.9485 8.2832
angles: 76.12 76.93 72.66
Space group P-1 (No. 2)
Symmetry-distinct sites (fractional):
1 Dy 0.0000 0.0000 0.0000
2 Dy 0.1578 0.1302 0.3583
3 Dy 0.3272 0.2653 0.6542
4 Y 0.0000 0.5000 0.0000
5 Ho 0.2061 0.6377 0.3167
6 Ho 0.3531 0.7473 0.7205
7 Ho 0.5000 0.0000 0.0000

Properties
Electronic total energy = -50.75 eV/cell
Crystal system = triclinic
DOS at the Fermi energy = 16.3 states/eV per cell
Energy relative to the elements = 147 meV/atom


2.
## DyY2Ho5 (PBE)

Data for an optimized crystal structure of DyY2Ho5.

abc: 6.5956 16.3566 9.4693
angles: 90.00 96.50 90.00
Space group C2/c (No. 15)
Symmetry-distinct sites (fractional):
1 Dy 0.0000 0.0421 0.2500
2 Y 0.1608 0.4353 0.4250
3 Ho 0.0000 0.3940 0.7500
4 Ho 0.1679 0.1470 0.9488
5 Ho 0.2132 0.2410 0.3388

Properties
Electronic total energy = -157.08 eV/cell
Crystal system = monoclinic
DOS at the Fermi energy = 49.2 states/eV per cell
Energy relative to the elements = 144 meV/atom


3.
## DyY8Ho2 (PBE)

Data for an optimized crystal structure of DyY8Ho2.

abc: 9.0330 16.2192 5.8820
angles: 90.00 123.76 90.00
Space group C2/m (No. 12)
Symmetry-distinct sites (fractional):
1 Dy 0.0000 0.0000 0.0000
2 Y 0.0000 0.2057 0.0000
3 Y 0.0715 0.5000 0.7933
4 Y 0.2172 0.1188 0.6781
5 Ho 0.0000 0.3082 0.5000

Properties
Electronic total energy = -127.38 eV/cell
Crystal system = monoclinic
DOS at the Fermi energy = 35.8 states/eV per cell
Energy relative to the elements = 162 meV/atom


4.
## Dy3YHo (PBE)

Data for an optimized crystal structure of Dy3YHo.

abc: 6.2688 6.6982 9.1831
angles: 72.30 89.99 62.15
Space group P-1 (No. 2)
Symmetry-distinct sites (fractional):
1 Dy 0.0669 0.1985 0.0503
2 Dy 0.2677 0.7995 0.4499
3 Dy 0.3321 0.9993 0.7508
4 Y 0.1346 0.3996 0.3492
5 Ho 0.4653 0.3994 0.8509

Properties
Electronic total energy = -49.63 eV/cell
Crystal system = triclinic
DOS at the Fermi energy = 18.5 states/eV per cell
Energy relative to the elements = 6 meV/atom